Density functional theory data (PBE-GGA) for a relaxed structure of HfCoPt2.

**Space group**: F-43m (216)
**Calculated volume**: 63.06 Å³ per cell
**E**: -7.805 eV per atom
**Total magnetization**: 0.80 μB per formula unit
**Formation energy**: -49 kJ/mol of atoms

a = 4.468 Å, b = 4.468 Å, c = 4.468 Å
α = 60.00°, β = 60.00°, γ = 60.00°
Sites, in units of the cell vectors:
Pt  0.000  0.000  0.000
Pt  0.750  0.750  0.750
Hf  0.500  0.500  0.500
Co  0.250  0.250  0.250